Run w
# CuPt3O (PBE, optimized geometry)
data_CuPt3O
_chemical_formula_sum 'Cu1 Pt3 O1'
_cell_length_a 4.208
_cell_length_b 4.208
_cell_length_c 4.208
_cell_angle_alpha 90.00
_cell_angle_beta 90.00
_cell_angle_gamma 90.00
_symmetry_space_group_name_H-M 'P m -3 m'
_symmetry_Int_Tables_number 221
_symmetry_space_group_name_Hall '-P 4 2 3'
loop_
_atom_site_label
_atom_site_fract_x
_atom_site_fract_y
_atom_site_fract_z
_atom_site_occupancy
Cu1 0.000 0.000 0.000 1
Pt1 0.000 0.500 0.500 1
O1 0.500 0.500 0.500 1
# crystal system: cubic
# volume: 14.91 A^3/atom

***

Run x
# CuPt3O (PBE, optimized geometry)
data_CuPt3O
_chemical_formula_sum 'Cu1 Pt3 O1'
_cell_length_a 4.566
_cell_length_b 4.566
_cell_length_c 4.566
_cell_angle_alpha 90.00
_cell_angle_beta 90.00
_cell_angle_gamma 90.00
_symmetry_space_group_name_H-M 'P m -3 m'
_symmetry_Int_Tables_number 221
_symmetry_space_group_name_Hall '-P 4 2 3'
loop_
_atom_site_label
_atom_site_fract_x
_atom_site_fract_y
_atom_site_fract_z
_atom_site_occupancy
Cu1 0.000 0.000 0.000 1
Pt1 0.000 0.000 0.500 1
O1 0.500 0.500 0.500 1
# crystal system: cubic
# volume: 19.04 A^3/atom

***

Name the most stable of them. run w.

***

Run w
# Cu3PtO6 (PBE, optimized geometry)
data_Cu3PtO6
_chemical_formula_sum 'Cu6 Pt2 O12'
_cell_length_a 7.000
_cell_length_b 9.767
_cell_length_c 3.113
_cell_angle_alpha 90.00
_cell_angle_beta 90.00
_cell_angle_gamma 90.00
_symmetry_space_group_name_H-M 'C m m m'
_symmetry_Int_Tables_number 65
_symmetry_space_group_name_Hall '-C 2 2'
loop_
_atom_site_label
_atom_site_fract_x
_atom_site_fract_y
_atom_site_fract_z
_atom_site_occupancy
Cu1 0.000 0.000 0.000 1
Cu2 0.250 0.250 0.500 1
Pt1 0.000 0.500 0.000 1
O1 0.000 0.366 0.500 1
O2 0.195 0.129 0.000 1
# crystal system: orthorhombic
# volume: 10.64 A^3/atom

***

Run x
# Cu3PtO6 (PBE, optimized geometry)
data_Cu3PtO6
_chemical_formula_sum 'Cu9 Pt3 O18'
_cell_length_a 5.1150
_cell_length_b 5.1150
_cell_length_c 13.7452
_cell_angle_alpha 90.00
_cell_angle_beta 90.00
_cell_angle_gamma 120.00
_symmetry_space_group_name_H-M 'R 3'
_symmetry_Int_Tables_number 146
_symmetry_space_group_name_Hall 'R 3'
loop_
_atom_site_label
_atom_site_fract_x
_atom_site_fract_y
_atom_site_fract_z
_atom_site_occupancy
Cu1 0.0000 0.0000 0.0000 1
Cu2 0.0000 0.0000 0.2019 1
Cu3 0.0000 0.0000 0.7108 1
Pt1 0.0000 0.0000 0.5111 1
O1 0.0013 0.3067 0.1076 1
O2 0.0332 0.6764 0.2729 1
# crystal system: trigonal
# volume: 10.38 A^3/atom

***

Name the most stable of them. run x.

***

Run w
# Cu4PtO5 (PBE, optimized geometry)
data_Cu4PtO5
_chemical_formula_sum 'Cu8 Pt2 O10'
_cell_length_a 6.027
_cell_length_b 2.931
_cell_length_c 13.230
_cell_angle_alpha 90.00
_cell_angle_beta 97.00
_cell_angle_gamma 90.00
_symmetry_space_group_name_H-M 'P 1 2/m 1'
_symmetry_Int_Tables_number 10
loop_
_symmetry_equiv_pos_as_xyz
'x,y,z'
'-x,-y,-z'
'-x,y,-z'
'x,-y,z'
loop_
_atom_site_label
_atom_site_fract_x
_atom_site_fract_y
_atom_site_fract_z
_atom_site_occupancy
Cu1 0.000 0.000 0.000 1
Cu2 0.097 0.500 0.404 1
Cu3 0.200 0.000 0.798 1
Cu4 0.399 0.000 0.599 1
Cu5 0.500 0.500 0.000 1
Pt1 0.300 0.500 0.202 1
O1 0.005 0.500 0.745 1
O2 0.200 0.500 0.048 1
O3 0.202 0.500 0.551 1
O4 0.395 0.500 0.851 1
O5 0.398 0.500 0.356 1
# crystal system: monoclinic
# volume: 11.60 A^3/atom

***

Run x
# Cu4PtO5 (PBE, optimized geometry)
data_Cu4PtO5
_chemical_formula_sum 'Cu8 Pt2 O10'
_cell_length_a 4.249
_cell_length_b 5.189
_cell_length_c 10.704
_cell_angle_alpha 90.00
_cell_angle_beta 100.15
_cell_angle_gamma 90.00
_symmetry_space_group_name_H-M 'P 1 2/m 1'
_symmetry_Int_Tables_number 10
loop_
_symmetry_equiv_pos_as_xyz
'x,y,z'
'-x,-y,-z'
'-x,y,-z'
'x,-y,z'
loop_
_atom_site_label
_atom_site_fract_x
_atom_site_fract_y
_atom_site_fract_z
_atom_site_occupancy
Cu1 0.000 0.000 0.000 1
Cu2 0.075 0.500 0.200 1
Cu3 0.205 0.000 0.397 1
Cu4 0.405 0.000 0.808 1
Cu5 0.500 0.500 0.000 1
Pt1 0.306 0.500 0.606 1
O1 0.000 0.244 0.500 1
O2 0.206 0.249 0.905 1
O3 0.389 0.247 0.291 1
# crystal system: monoclinic
# volume: 11.62 A^3/atom

***

Name the most stable of them. run w.

***

Run w
# RbCu2O2 (PBE, optimized geometry)
data_RbCu2O2
_chemical_formula_sum 'Rb2 Cu4 O4'
_cell_length_a 4.008
_cell_length_b 4.008
_cell_length_c 10.758
_cell_angle_alpha 90.00
_cell_angle_beta 90.00
_cell_angle_gamma 90.00
_symmetry_space_group_name_H-M 'I 4/m m m'
_symmetry_Int_Tables_number 139
_symmetry_space_group_name_Hall '-I 4 2'
loop_
_atom_site_label
_atom_site_fract_x
_atom_site_fract_y
_atom_site_fract_z
_atom_site_occupancy
Rb1 0.000 0.000 0.000 1
Cu1 0.000 0.000 0.278 1
O1 0.000 0.500 0.250 1
# crystal system: tetragonal
# volume: 17.28 A^3/atom

***

Run x
# RbCu2O2 (PBE, optimized geometry)
data_RbCu2O2
_chemical_formula_sum 'Rb4 Cu8 O8'
_cell_length_a 6.157
_cell_length_b 6.157
_cell_length_c 9.885
_cell_angle_alpha 90.00
_cell_angle_beta 90.00
_cell_angle_gamma 90.00
_symmetry_space_group_name_H-M 'I 41/a m d'
_symmetry_Int_Tables_number 141
loop_
_symmetry_equiv_pos_as_xyz
'x,y,z'
'-x,-y,-z'
'-y+1/4,x+3/4,z+1/4'
'y+1/4,-x+3/4,-z+1/4'
'-x+1/2,-y,z+1/2'
'x+1/2,y,-z+1/2'
'y+1/4,-x+1/4,z+3/4'
'-y+1/4,x+1/4,-z+3/4'
'x,-y,-z'
'-x,y,z'
'-y+1/4,-x+1/4,-z+3/4'
'y+1/4,x+1/4,z+3/4'
'-x+1/2,y,-z+1/2'
'x+1/2,-y,z+1/2'
'y+1/4,x+3/4,-z+1/4'
'-y+1/4,-x+3/4,z+1/4'
'x+1/2,y+1/2,z+1/2'
'-x+1/2,-y+1/2,-z+1/2'
'-y+3/4,x+1/4,z+3/4'
'y+3/4,-x+1/4,-z+3/4'
'-x,-y+1/2,z'
'x,y+1/2,-z'
'y+3/4,-x+3/4,z+1/4'
'-y+3/4,x+3/4,-z+1/4'
'x+1/2,-y+1/2,-z+1/2'
'-x+1/2,y+1/2,z+1/2'
'-y+3/4,-x+3/4,-z+1/4'
'y+3/4,x+3/4,z+1/4'
'-x,y+1/2,-z'
'x,-y+1/2,z'
'y+3/4,x+1/4,-z+3/4'
'-y+3/4,-x+1/4,z+3/4'
loop_
_atom_site_label
_atom_site_fract_x
_atom_site_fract_y
_atom_site_fract_z
_atom_site_occupancy
Rb1 0.000 0.250 0.375 1
Cu1 0.000 0.000 0.000 1
O1 0.000 0.250 0.091 1
# crystal system: tetragonal
# volume: 18.73 A^3/atom

***

Run y
# RbCu2O2 (PBE, optimized geometry)
data_RbCu2O2
_chemical_formula_sum 'Rb4 Cu8 O8'
_cell_length_a 6.774
_cell_length_b 6.774
_cell_length_c 9.419
_cell_angle_alpha 90.00
_cell_angle_beta 90.00
_cell_angle_gamma 90.00
_symmetry_space_group_name_H-M 'I 41 m d'
_symmetry_Int_Tables_number 109
_symmetry_space_group_name_Hall 'I 4bw -2'
loop_
_atom_site_label
_atom_site_fract_x
_atom_site_fract_y
_atom_site_fract_z
_atom_site_occupancy
Rb1 0.000 0.000 0.000 1
Cu1 0.000 0.182 0.623 1
O1 0.000 0.300 0.797 1
# crystal system: tetragonal
# volume: 21.61 A^3/atom

***

Name the most stable of them. run x.

***

Run w
# Rb4CuSi2O7 (PBE, optimized geometry)
data_Rb4CuSi2O7
_chemical_formula_sum 'Rb4 Cu1 Si2 O7'
_cell_length_a 6.281
_cell_length_b 8.363
_cell_length_c 8.539
_cell_angle_alpha 117.14
_cell_angle_beta 92.95
_cell_angle_gamma 108.67
_symmetry_space_group_name_H-M 'P -1'
_symmetry_Int_Tables_number 2
loop_
_symmetry_equiv_pos_as_xyz
'x,y,z'
'-x,-y,-z'
loop_
_atom_site_label
_atom_site_fract_x
_atom_site_fract_y
_atom_site_fract_z
_atom_site_occupancy
Rb1 0.089 0.403 0.183 1
Rb2 0.343 0.990 0.264 1
Cu1 0.500 0.500 0.500 1
Si1 0.278 0.340 0.714 1
O1 0.000 0.000 0.000 1
O2 0.085 0.316 0.821 1
O3 0.307 0.504 0.654 1
O4 0.443 0.226 0.661 1
# crystal system: triclinic
# volume: 26.26 A^3/atom

***

Run x
# Rb4CuSi2O7 (PBE, optimized geometry)
data_Rb4CuSi2O7
_chemical_formula_sum 'Rb4 Cu1 Si2 O7'
_cell_length_a 6.371
_cell_length_b 7.219
_cell_length_c 7.294
_cell_angle_alpha 114.56
_cell_angle_beta 100.21
_cell_angle_gamma 108.11
_symmetry_space_group_name_H-M 'P -1'
_symmetry_Int_Tables_number 2
loop_
_symmetry_equiv_pos_as_xyz
'x,y,z'
'-x,-y,-z'
loop_
_atom_site_label
_atom_site_fract_x
_atom_site_fract_y
_atom_site_fract_z
_atom_site_occupancy
Rb1 0.069 0.043 0.278 1
Rb2 0.322 0.578 0.215 1
Cu1 0.500 0.000 0.000 1
Si1 0.215 0.580 0.723 1
O1 0.000 0.500 0.500 1
O2 0.183 0.769 0.933 1
O3 0.202 0.358 0.734 1
O4 0.473 0.741 0.732 1
# crystal system: triclinic
# volume: 19.37 A^3/atom

***

Name the most stable of them. run x.

***

Run w
# CuRe3O (PBE, optimized geometry)
data_CuRe3O
_chemical_formula_sum 'Cu1 Re3 O1'
_cell_length_a 4.467
_cell_length_b 4.467
_cell_length_c 4.467
_cell_angle_alpha 90.00
_cell_angle_beta 90.00
_cell_angle_gamma 90.00
_symmetry_space_group_name_H-M 'P m -3 m'
_symmetry_Int_Tables_number 221
_symmetry_space_group_name_Hall '-P 4 2 3'
loop_
_atom_site_label
_atom_site_fract_x
_atom_site_fract_y
_atom_site_fract_z
_atom_site_occupancy
Cu1 0.000 0.000 0.000 1
Re1 0.000 0.000 0.500 1
O1 0.500 0.500 0.500 1
# crystal system: cubic
# volume: 17.83 A^3/atom

***

Run x
# CuRe3O (PBE, optimized geometry)
data_CuRe3O
_chemical_formula_sum 'Cu1 Re3 O1'
_cell_length_a 4.051
_cell_length_b 4.051
_cell_length_c 4.051
_cell_angle_alpha 90.00
_cell_angle_beta 90.00
_cell_angle_gamma 90.00
_symmetry_space_group_name_H-M 'P m -3 m'
_symmetry_Int_Tables_number 221
_symmetry_space_group_name_Hall '-P 4 2 3'
loop_
_atom_site_label
_atom_site_fract_x
_atom_site_fract_y
_atom_site_fract_z
_atom_site_occupancy
Cu1 0.000 0.000 0.000 1
Re1 0.000 0.500 0.500 1
O1 0.500 0.500 0.500 1
# crystal system: cubic
# volume: 13.29 A^3/atom

***

Name the most stable of them. run x.